Record 1
A geometry-optimized RePCl9 structure, computed with GGA-PBE.

The value obtained for the raw total energy is -3.754 eV/atom. The calculation puts the size of the total moment at 6.00 μB/cell.

The space group is P-1 (No. 2) and the conventional cell measures 7.3768, 9.7257 and 9.8722 Å, with angles of 103.87, 90.15 and 96.46 degrees. The asymmetric unit holds Re at (0.0983, 0.1571, 0.1402), P at (0.4429, 0.7228, 0.3137), Cl at (0.0274, 0.6528, 0.7163), Cl at (0.0374, 0.0234, 0.3067), Cl at (0.1495, 0.2897, 0.9688), Cl at (0.1997, 0.9465, 0.9768), Cl at (0.2717, 0.7400, 0.4683), Cl at (0.3303, 0.3368, 0.6256), Cl at (0.3320, 0.5769, 0.1530), Cl at (0.3952, 0.2291, 0.2280) and Cl at (0.4979, 0.9077, 0.2673).



Record 2
A geometry-optimized ReP2Cl structure, computed with GGA-PBE.

The calculation puts the size of the total moment at 0.00 μB/cell. For the energy above the most stable polymorph in this dataset, the calculation gives 665 meV/atom.

The space group is Cmm2 (No. 35) and the conventional cell measures 2.9073, 5.2472 and 9.1926 Å, with angles of 90.00, 90.00 and 90.00 degrees. The asymmetric unit holds Re at (0.0000, 0.0000, 0.0000), P at (0.0000, 0.0000, 0.5880), P at (0.0000, 0.5000, 0.7919) and Cl at (0.0000, 0.5000, 0.2159).



Record 3
A geometry-optimized RePCl structure, computed with GGA-PBE.

The calculation puts the size of the total moment at 0.00 μB/cell. For the energy above the most stable polymorph in this dataset, the calculation gives 154 meV/atom.

The space group is P1 (No. 1) and the conventional cell measures 3.0621, 3.9249 and 10.8589 Å, with angles of 91.79, 90.81 and 112.89 degrees. The asymmetric unit holds Re at (0.0000, 0.0000, 0.0000), Re at (0.4643, 0.9106, 0.2182), P at (0.2892, 0.5893, 0.8916), P at (0.7384, 0.4663, 0.1248), Cl at (0.2804, 0.5903, 0.7029) and Cl at (0.9981, 0.9605, 0.3940).



Record 4
A geometry-optimized ReP2Cl structure, computed with GGA-PBE.

The calculation puts the size of the total moment at 0.00 μB/cell. For the energy above the most stable polymorph in this dataset, the calculation gives 1035 meV/atom.

The space group is Pmmm (No. 47) and the conventional cell measures 2.9556, 4.3813 and 4.4928 Å, with angles of 90.00, 90.00 and 90.00 degrees. The asymmetric unit holds Re at (0.0000, 0.0000, 0.0000), P at (0.0000, 0.5000, 0.5000), P at (0.5000, 0.0000, 0.5000) and Cl at (0.5000, 0.5000, 0.0000).



Record 5
A geometry-optimized ReP3Cl structure, computed with GGA-PBE.

The calculation puts the size of the total moment at 0.00 μB/cell. For the energy above the most stable polymorph in this dataset, the calculation gives 0 meV/atom.

The space group is Pm-3m (No. 221) and the conventional cell measures 4.6421, 4.6421 and 4.6421 Å, with angles of 90.00, 90.00 and 90.00 degrees. The asymmetric unit holds Re at (0.0000, 0.0000, 0.0000), P at (0.0000, 0.0000, 0.5000) and Cl at (0.5000, 0.5000, 0.5000).



Record 6
A geometry-optimized ReP2Cl structure, computed with GGA-PBE.

The calculation puts the size of the total moment at 0.00 μB/cell. For the energy above the most stable polymorph in this dataset, the calculation gives 875 meV/atom.

The space group is F-43m (No. 216) and the conventional cell measures 6.1230, 6.1230 and 6.1230 Å, with angles of 90.00, 90.00 and 90.00 degrees. The asymmetric unit holds Re at (0.0000, 0.0000, 0.0000), P at (0.0000, 0.0000, 0.5000), P at (0.2500, 0.2500, 0.2500) and Cl at (0.2500, 0.2500, 0.7500).



Record 7
A geometry-optimized ReP2Cl structure, computed with GGA-PBE.

The calculation puts the size of the total moment at 0.01 μB/cell. For the energy above the most stable polymorph in this dataset, the calculation gives 1170 meV/atom.

The space group is P4/mmm (No. 123) and the conventional cell measures 3.5651, 3.5651 and 4.7330 Å, with angles of 90.00, 90.00 and 90.00 degrees. The asymmetric unit holds Re at (0.0000, 0.0000, 0.0000), P at (0.0000, 0.5000, 0.5000) and Cl at (0.5000, 0.5000, 0.0000).



Record 8
A geometry-optimized ReP2Cl structure, computed with GGA-PBE.

The calculation puts the size of the total moment at 0.00 μB/cell. For the energy above the most stable polymorph in this dataset, the calculation gives 537 meV/atom.

The space group is Cmmm (No. 65) and the conventional cell measures 3.1736, 5.0152 and 8.4017 Å, with angles of 90.00, 90.00 and 90.00 degrees. The asymmetric unit holds Re at (0.0000, 0.0000, 0.0000), P at (0.0000, 0.5000, 0.2165) and Cl at (0.0000, 0.0000, 0.5000).



Record 9
A geometry-optimized ReP2Cl structure, computed with GGA-PBE.

The calculation puts the size of the total moment at 0.00 μB/cell. For the energy above the most stable polymorph in this dataset, the calculation gives 122 meV/atom.

The space group is R-3m (No. 166, hexagonal axes) and the conventional cell measures 3.1704, 3.1704 and 22.5878 Å, with angles of 90.00, 90.00 and 120.00 degrees. The asymmetric unit holds Re at (0.0000, 0.0000, 0.0000), P at (0.0000, 0.0000, 0.2614) and Cl at (0.0000, 0.0000, 0.5000).



Record 10
A geometry-optimized RePCl structure, computed with GGA-PBE.

The calculation puts the size of the total moment at 0.00 μB/cell. For the energy above the most stable polymorph in this dataset, the calculation gives 0 meV/atom.

The space group is P2_1/m (No. 11) and the conventional cell measures 4.8993, 3.1362 and 8.4580 Å, with angles of 90.00, 94.58 and 90.00 degrees. The asymmetric unit holds Re at (0.1727, 0.2500, 0.1060), P at (0.3118, 0.7500, 0.9165) and Cl at (0.2284, 0.7500, 0.3325).



Record 11
A geometry-optimized ReP2Cl structure, computed with GGA-PBE.

The calculation puts the size of the total moment at 0.00 μB/cell. For the energy above the most stable polymorph in this dataset, the calculation gives 0 meV/atom.

The space group is Cm (No. 8) and the conventional cell measures 8.2213, 3.2479 and 6.4934 Å, with angles of 90.00, 109.87 and 90.00 degrees. The asymmetric unit holds Re at (0.0000, 0.0000, 0.0000), P at (0.2099, 0.5000, 0.0029), P at (0.4381, 0.0000, 0.7173) and Cl at (0.0839, 0.0000, 0.3923).



Record 12
A geometry-optimized ReP2SCl structure, computed with GGA-PBE.

The calculation puts the size of the total moment at 1.08 μB/cell. For the energy above the most stable polymorph in this dataset, the calculation gives 1453 meV/atom.

The space group is P4/mmm (No. 123) and the conventional cell measures 4.3472, 4.3472 and 4.4843 Å, with angles of 90.00, 90.00 and 90.00 degrees. The asymmetric unit holds Re at (0.0000, 0.0000, 0.0000), P at (0.0000, 0.5000, 0.5000), S at (0.5000, 0.5000, 0.0000) and Cl at (0.5000, 0.5000, 0.5000).



Record 13
A geometry-optimized RePS2Cl structure, computed with GGA-PBE.

The calculation puts the size of the total moment at 2.19 μB/cell. For the energy above the most stable polymorph in this dataset, the calculation gives 353 meV/atom.

The space group is P4/mmm (No. 123) and the conventional cell measures 4.5803, 4.5803 and 5.0025 Å, with angles of 90.00, 90.00 and 90.00 degrees. The asymmetric unit holds Re at (0.0000, 0.0000, 0.0000), P at (0.5000, 0.5000, 0.5000), S at (0.0000, 0.5000, 0.0000) and Cl at (0.0000, 0.0000, 0.5000).



Record 14
A geometry-optimized RePSCl2 structure, computed with GGA-PBE.

The calculation puts the size of the total moment at 5.33 μB/cell. For the energy above the most stable polymorph in this dataset, the calculation gives 480 meV/atom.

The space group is P4/mmm (No. 123) and the conventional cell measures 4.7032, 4.7032 and 4.9146 Å, with angles of 90.00, 90.00 and 90.00 degrees. The asymmetric unit holds Re at (0.0000, 0.0000, 0.0000), P at (0.5000, 0.5000, 0.5000), S at (0.5000, 0.5000, 0.0000) and Cl at (0.0000, 0.5000, 0.5000).



Record 15
A geometry-optimized RePS2Cl structure, computed with GGA-PBE.

The calculation puts the size of the total moment at 5.06 μB/cell. For the energy above the most stable polymorph in this dataset, the calculation gives 859 meV/atom.

The space group is P4/mmm (No. 123) and the conventional cell measures 4.6691, 4.6691 and 4.5282 Å, with angles of 90.00, 90.00 and 90.00 degrees. The asymmetric unit holds Re at (0.0000, 0.0000, 0.0000), P at (0.5000, 0.5000, 0.5000), S at (0.0000, 0.5000, 0.5000) and Cl at (0.5000, 0.5000, 0.0000).



Record 16
A geometry-optimized RePS2Cl structure, computed with GGA-PBE.

The calculation puts the size of the total moment at 0.00 μB/cell. For the energy above the most stable polymorph in this dataset, the calculation gives 0 meV/atom.

The space group is P4/mmm (No. 123) and the conventional cell measures 4.5415, 4.5415 and 4.8401 Å, with angles of 90.00, 90.00 and 90.00 degrees. The asymmetric unit holds Re at (0.0000, 0.0000, 0.0000), P at (0.0000, 0.0000, 0.5000), S at (0.0000, 0.5000, 0.0000) and Cl at (0.5000, 0.5000, 0.5000).



Record 17
A geometry-optimized RePS2Cl structure, computed with GGA-PBE.

The calculation puts the size of the total moment at 2.68 μB/cell. For the energy above the most stable polymorph in this dataset, the calculation gives 1579 meV/atom.

The space group is P4/mmm (No. 123) and the conventional cell measures 4.5518, 4.5518 and 4.5234 Å, with angles of 90.00, 90.00 and 90.00 degrees. The asymmetric unit holds Re at (0.0000, 0.0000, 0.0000), P at (0.5000, 0.5000, 0.0000), S at (0.0000, 0.5000, 0.5000) and Cl at (0.5000, 0.5000, 0.5000).



Record 18
A geometry-optimized RePSCl2 structure, computed with GGA-PBE.

The calculation puts the size of the total moment at 4.42 μB/cell. For the energy above the most stable polymorph in this dataset, the calculation gives 776 meV/atom.

The space group is P4/mmm (No. 123) and the conventional cell measures 4.4604, 4.4604 and 5.3676 Å, with angles of 90.00, 90.00 and 90.00 degrees. The asymmetric unit holds Re at (0.0000, 0.0000, 0.0000), P at (0.5000, 0.5000, 0.0000), S at (0.5000, 0.5000, 0.5000) and Cl at (0.0000, 0.5000, 0.5000).



Record 19
A geometry-optimized ReP2SCl structure, computed with GGA-PBE.

The calculation puts the size of the total moment at 0.07 μB/cell. For the energy above the most stable polymorph in this dataset, the calculation gives 0 meV/atom.

The space group is P4/mmm (No. 123) and the conventional cell measures 4.6927, 4.6927 and 4.5420 Å, with angles of 90.00, 90.00 and 90.00 degrees. The asymmetric unit holds Re at (0.0000, 0.0000, 0.0000), P at (0.0000, 0.5000, 0.0000), S at (0.0000, 0.0000, 0.5000) and Cl at (0.5000, 0.5000, 0.5000).



Record 20
A geometry-optimized RePSCl2 structure, computed with GGA-PBE.

The calculation puts the size of the total moment at 0.00 μB/cell. For the energy above the most stable polymorph in this dataset, the calculation gives 0 meV/atom.

The space group is P4/mmm (No. 123) and the conventional cell measures 4.6259, 4.6259 and 4.7703 Å, with angles of 90.00, 90.00 and 90.00 degrees. The asymmetric unit holds Re at (0.0000, 0.0000, 0.0000), P at (0.0000, 0.0000, 0.5000), S at (0.5000, 0.5000, 0.5000) and Cl at (0.0000, 0.5000, 0.0000).



Record 21
A geometry-optimized RePSCl2 structure, computed with GGA-PBE.

The calculation puts the size of the total moment at 1.45 μB/cell. For the energy above the most stable polymorph in this dataset, the calculation gives 24 meV/atom.

The space group is P4/mmm (No. 123) and the conventional cell measures 4.9338, 4.9338 and 4.5168 Å, with angles of 90.00, 90.00 and 90.00 degrees. The asymmetric unit holds Re at (0.0000, 0.0000, 0.0000), P at (0.5000, 0.5000, 0.5000), S at (0.0000, 0.0000, 0.5000) and Cl at (0.0000, 0.5000, 0.0000).



Record 22
A geometry-optimized ReP2SCl structure, computed with GGA-PBE.

The calculation puts the size of the total moment at 0.00 μB/cell. For the energy above the most stable polymorph in this dataset, the calculation gives 1186 meV/atom.

The space group is P4/mmm (No. 123) and the conventional cell measures 4.4097, 4.4097 and 4.2833 Å, with angles of 90.00, 90.00 and 90.00 degrees. The asymmetric unit holds Re at (0.0000, 0.0000, 0.0000), P at (0.0000, 0.5000, 0.5000), S at (0.5000, 0.5000, 0.5000) and Cl at (0.5000, 0.5000, 0.0000).



Record 23
A geometry-optimized ReP2SCl structure, computed with GGA-PBE.

The calculation puts the size of the total moment at 0.00 μB/cell. For the energy above the most stable polymorph in this dataset, the calculation gives 233 meV/atom.

The space group is P4/mmm (No. 123) and the conventional cell measures 4.6423, 4.6423 and 4.6491 Å, with angles of 90.00, 90.00 and 90.00 degrees. The asymmetric unit holds Re at (0.0000, 0.0000, 0.0000), P at (0.0000, 0.5000, 0.0000), S at (0.5000, 0.5000, 0.5000) and Cl at (0.0000, 0.0000, 0.5000).



Record 24
A geometry-optimized ScRePCl2 structure, computed with GGA-PBE.

The calculation puts the size of the total moment at 0.01 μB/cell. For the energy above the most stable polymorph in this dataset, the calculation gives 0 meV/atom.

The space group is P4/mmm (No. 123) and the conventional cell measures 4.8198, 4.8198 and 4.6135 Å, with angles of 90.00, 90.00 and 90.00 degrees. The asymmetric unit holds Sc at (0.0000, 0.0000, 0.0000), Re at (0.5000, 0.5000, 0.5000), P at (0.5000, 0.5000, 0.0000) and Cl at (0.0000, 0.5000, 0.5000).



Record 25
A geometry-optimized ScRePCl2 structure, computed with GGA-PBE.

The calculation puts the size of the total moment at 4.98 μB/cell. For the energy above the most stable polymorph in this dataset, the calculation gives 62 meV/atom.

The space group is P4/mmm (No. 123) and the conventional cell measures 4.7448, 4.7448 and 5.4794 Å, with angles of 90.00, 90.00 and 90.00 degrees. The asymmetric unit holds Sc at (0.0000, 0.0000, 0.0000), Re at (0.5000, 0.5000, 0.5000), P at (0.0000, 0.0000, 0.5000) and Cl at (0.0000, 0.5000, 0.0000).



Record 26
A geometry-optimized ScReP2Cl structure, computed with GGA-PBE.

The calculation puts the size of the total moment at 3.71 μB/cell. For the energy above the most stable polymorph in this dataset, the calculation gives 706 meV/atom.

The space group is P4/mmm (No. 123) and the conventional cell measures 5.0333, 5.0333 and 4.6683 Å, with angles of 90.00, 90.00 and 90.00 degrees. The asymmetric unit holds Sc at (0.0000, 0.0000, 0.0000), Re at (0.5000, 0.5000, 0.5000), P at (0.0000, 0.5000, 0.0000) and Cl at (0.0000, 0.0000, 0.5000).



Record 27
A geometry-optimized ScReP2Cl structure, computed with GGA-PBE.

The calculation puts the size of the total moment at 0.72 μB/cell. For the energy above the most stable polymorph in this dataset, the calculation gives 0 meV/atom.

The space group is P4/mmm (No. 123) and the conventional cell measures 4.5772, 4.5772 and 5.0081 Å, with angles of 90.00, 90.00 and 90.00 degrees. The asymmetric unit holds Sc at (0.0000, 0.0000, 0.0000), Re at (0.5000, 0.5000, 0.5000), P at (0.0000, 0.5000, 0.5000) and Cl at (0.5000, 0.5000, 0.0000).



Record 28
A geometry-optimized ReSnPCl2 structure, computed with GGA-PBE.

The calculation puts the size of the total moment at 0.89 μB/cell. For the energy above the most stable polymorph in this dataset, the calculation gives 0 meV/atom.

The space group is P4/mmm (No. 123) and the conventional cell measures 4.9200, 4.9200 and 4.6430 Å, with angles of 90.00, 90.00 and 90.00 degrees. The asymmetric unit holds Re at (0.0000, 0.0000, 0.0000), Sn at (0.5000, 0.5000, 0.5000), P at (0.0000, 0.0000, 0.5000) and Cl at (0.0000, 0.5000, 0.0000).